[1]
Computed, not measured: a relaxed PuPd8Au2 crystal at the PBE-GGA level of DFT.

Lattice parameters (Å, degrees): 13.384 5.401 5.506 90.00 105.22 90.00
Space group C2/m (No. 12)
Unique sites:
1 Pu 0.000 0.000 0.000 x2
2 Pd 0.078 0.500 0.214 x4
3 Pd 0.093 0.253 0.672 x8
4 Pd 0.245 0.500 0.038 x4
5 Au 0.220 0.000 0.421 x4

Values from the calculation:
As for the crystal system: monoclinic. Its relative energy among the computed polymorphs is 1.45 eV/f.u. The value obtained for the density of states at the Fermi level is 1.6428 states/eV per atom. As for the spin magnetization: 8.5 μB/cell.


[2]
Computed, not measured: a relaxed Pu6Pd5Au crystal at the PBE-GGA level of DFT.

Lattice parameters (Å, degrees): 5.151 8.890 10.420 90.00 99.16 90.00
Space group C2/m (No. 12)
Unique sites:
1 Pu 0.248 0.000 0.253 x4
2 Pu 0.248 0.168 0.747 x8
3 Pd 0.000 0.000 0.500 x2
4 Pd 0.000 0.167 0.000 x4
5 Pd 0.000 0.334 0.500 x4
6 Au 0.000 0.500 0.000 x2

Values from the calculation:
As for the crystal system: monoclinic. Its relative energy among the computed polymorphs is 3.19 eV/f.u. The value obtained for the density of states at the Fermi level is 2.6436 states/eV per atom. As for the spin magnetization: 59.5 μB/cell.


[3]
Computed, not measured: a relaxed Pu3PdAu3 crystal at the PBE-GGA level of DFT.

Lattice parameters (Å, degrees): 3.370 4.820 19.698 90.00 90.00 90.00
Space group Imm2 (No. 44)
Unique sites:
1 Pu 0.000 0.000 0.000 x2
2 Pu 0.000 0.000 0.389 x2
3 Pu 0.000 0.500 0.200 x2
4 Pd 0.000 0.500 0.768 x2
5 Au 0.000 0.000 0.549 x2
6 Au 0.000 0.000 0.843 x2
7 Au 0.000 0.500 0.631 x2

Values from the calculation:
As for the crystal system: orthorhombic. The value obtained for the density of states at the Fermi level is 4.8643 states/eV per atom. The calculation puts the total energy at -8.67 eV per atom. As for the spin magnetization: 11.2 μB/cell.


[4]
Computed, not measured: a relaxed PuPd4Au crystal at the PBE-GGA level of DFT.

Lattice parameters (Å, degrees): 7.565 7.565 7.565 90.00 90.00 90.00
Space group F-43m (No. 216)
Unique sites:
1 Pu 0.000 0.000 0.000 x4
2 Pd 0.125 0.125 0.375 x16
3 Au 0.250 0.250 0.750 x4

Values from the calculation:
As for the crystal system: cubic. Its relative energy among the computed polymorphs is 0.00 eV/f.u. The value obtained for the density of states at the Fermi level is 3.4377 states/eV per atom. As for the spin magnetization: 18.2 μB/cell.


[5]
Computed, not measured: a relaxed Pu3Pd2Au2 crystal at the PBE-GGA level of DFT.

Lattice parameters (Å, degrees): 8.720 8.720 8.720 90.00 90.00 90.00
Space group I2_13 (No. 199)
Unique sites:
1 Pu 0.000 0.250 0.854 x12
2 Pd 0.074 0.426 0.574 x8
3 Au 0.157 0.157 0.157 x8

Values from the calculation:
As for the crystal system: cubic. The value obtained for the density of states at the Fermi level is 5.4215 states/eV per atom. The calculation puts the total energy at -8.90 eV per atom. As for the spin magnetization: 66.4 μB/cell.


[6]
Computed, not measured: a relaxed PuPd2Au4 crystal at the PBE-GGA level of DFT.

Lattice parameters (Å, degrees): 7.028 7.028 5.440 90.00 90.00 90.00
Space group I4/mmm (No. 139)
Unique sites:
1 Pu 0.000 0.000 0.000 x2
2 Pd 0.000 0.500 0.250 x4
3 Au 0.198 0.198 0.500 x8

Values from the calculation:
As for the crystal system: tetragonal. The value obtained for the density of states at the Fermi level is 2.7400 states/eV per atom. The calculation puts the total energy at -5.71 eV per atom. As for the spin magnetization: 11.2 μB/cell.